Record 1
Entry from Alexandria: crystalline ScGaTcPd at its relaxed geometry (GGA-PBE).

Unit cell a=4.470 b=4.470 c=4.470 alpha=60.00 beta=60.00 gamma=60.00
Atoms (fractional coordinates):
Sc  0.000  0.000  0.000
Ga  0.500  0.500  0.500
Tc  0.750  0.750  0.750
Pd  0.250  0.250  0.250

Size of the total moment in μB per atom: 0.00
Fermi-level density of states in states/eV per atom: 1.0815
Formation energy from the elements in eV per atom: -0.46



Record 2
Entry from Alexandria: crystalline ThScGa2Pd2 at its relaxed geometry (GGA-PBE).

Unit cell a=4.473 b=4.473 c=6.792 alpha=90.00 beta=90.00 gamma=120.00
Atoms (fractional coordinates):
Th  0.000  0.000  0.000
Sc  0.000  0.000  0.500
Ga  0.333  0.667  0.291
Ga  0.667  0.333  0.709
Pd  0.333  0.667  0.717
Pd  0.667  0.333  0.283

Size of the total moment in μB per atom: 0.00
Fermi-level density of states in states/eV per atom: 0.8300
Formation energy from the elements in eV per atom: -0.82



Record 3
Entry from Alexandria: crystalline ThScGaPd at its relaxed geometry (GGA-PBE).

Unit cell a=5.007 b=5.007 c=5.007 alpha=60.00 beta=60.00 gamma=60.00
Atoms (fractional coordinates):
Th  0.000  0.000  0.000
Sc  0.500  0.500  0.500
Ga  0.250  0.250  0.250
Pd  0.750  0.750  0.750

Size of the total moment in μB per atom: 0.00
Fermi-level density of states in states/eV per atom: 1.0036
Formation energy from the elements in eV per atom: -0.56